# TbCeTm2Sc4 (PBE, optimized geometry)
# - energy of formation (eV per atom) = 0.04
# - E (Ha/atom) = -0.20434
# - total moment (μB/f.u.) = 0.4
# - calculated volume (Å³ per cell) = 219
data_TbCeTm2Sc4
_chemical_formula_sum 'Tb1 Ce1 Tm2 Sc4'
_symmetry_space_group_name_H-M 'P 1 2/m 1'
_symmetry_Int_Tables_number 10
_symmetry_space_group_name_Hall '-P 2y'
_cell_length_a 4.8865
_cell_length_b 4.8843
_cell_length_c 9.1761
_cell_angle_alpha 90.00
_cell_angle_beta 90.00
_cell_angle_gamma 90.00
loop_
_atom_site_label
_atom_site_fract_x
_atom_site_fract_y
_atom_site_fract_z
Tb1 0.0000 0.0000 0.0000
Ce1 0.5000 0.5000 0.5000
Tm1 0.0000 0.0000 0.5000
Tm2 0.5000 0.5000 0.0000
Sc1 0.0012 0.5000 0.2534
Sc2 0.4982 0.0000 0.2530

---

# Mg7Cu6 (PBE, optimized geometry)
# - energy of formation (eV per atom) = 0.28
# - E (Ha/atom) = -0.09090
# - total moment (μB/f.u.) = 0.0
# - calculated volume (Å³ per cell) = 694
data_Mg7Cu6
_chemical_formula_sum 'Mg21 Cu18'
_symmetry_space_group_name_H-M 'R -3 m'
_symmetry_Int_Tables_number 166
_symmetry_space_group_name_Hall '-R 3 2"'
_cell_length_a 5.4954
_cell_length_b 5.4954
_cell_length_c 26.5410
_cell_angle_alpha 90.00
_cell_angle_beta 90.00
_cell_angle_gamma 120.00
loop_
_atom_site_label
_atom_site_fract_x
_atom_site_fract_y
_atom_site_fract_z
Mg1 0.0000 0.0000 0.0000
Mg2 0.0052 0.5026 0.4194
Cu1 0.0000 0.0000 0.1667
Cu2 0.0000 0.0000 0.3552
Cu3 0.0000 0.0000 0.4531

---

# LiCa2Zn3Sn4 (PBE, optimized geometry)
# - energy of formation (eV per atom) = -0.34
# - E (Ha/atom) = -0.10718
# - total moment (μB/f.u.) = 0.0
# - calculated volume (Å³ per cell) = 238
data_LiCa2Zn3Sn4
_chemical_formula_sum 'Li1 Ca2 Zn3 Sn4'
_symmetry_space_group_name_H-M 'P -4 m 2'
_symmetry_Int_Tables_number 115
_symmetry_space_group_name_Hall 'P -4 -2'
_cell_length_a 4.5056
_cell_length_b 4.5056
_cell_length_c 11.7469
_cell_angle_alpha 90.00
_cell_angle_beta 90.00
_cell_angle_gamma 90.00
loop_
_atom_site_label
_atom_site_fract_x
_atom_site_fract_y
_atom_site_fract_z
Li1 0.0000 0.0000 0.0000
Ca1 0.0000 0.5000 0.7596
Zn1 0.0000 0.5000 0.3545
Zn2 0.5000 0.5000 0.0000
Sn1 0.0000 0.0000 0.5000
Sn2 0.0000 0.5000 0.1345
Sn3 0.5000 0.5000 0.5000

---

# DyThHgAu (PBE, optimized geometry)
# - energy of formation (eV per atom) = -0.53
# - offset from the most stable computed form (meV/atom) = 0
# - E (Ha/atom) = -0.16270
# - total moment (μB/f.u.) = 0.0
# - calculated volume (Å³ per cell) = 102
data_DyThHgAu
_chemical_formula_sum 'Dy1 Th1 Hg1 Au1'
_symmetry_space_group_name_H-M 'P 4 m m'
_symmetry_Int_Tables_number 99
_symmetry_space_group_name_Hall 'P 4 -2'
_cell_length_a 3.6469
_cell_length_b 3.6469
_cell_length_c 7.6930
_cell_angle_alpha 90.00
_cell_angle_beta 90.00
_cell_angle_gamma 90.00
loop_
_atom_site_label
_atom_site_fract_x
_atom_site_fract_y
_atom_site_fract_z
Dy1 0.0000 0.0000 0.0000
Th1 0.0000 0.0000 0.4761
Hg1 0.5000 0.5000 0.7533
Au1 0.5000 0.5000 0.2128

---

# PuHgRuRh (PBE, optimized geometry)
# - energy of formation (eV per atom) = -0.14
# - E (Ha/atom) = -0.29232
# - total moment (μB/f.u.) = 3.8
# - calculated volume (Å³ per cell) = 291
data_PuHgRuRh
_chemical_formula_sum 'Pu4 Hg4 Ru4 Rh4'
_symmetry_space_group_name_H-M 'F -4 3 m'
_symmetry_Int_Tables_number 216
_symmetry_space_group_name_Hall 'F -4 2 3'
_cell_length_a 6.6291
_cell_length_b 6.6291
_cell_length_c 6.6291
_cell_angle_alpha 90.00
_cell_angle_beta 90.00
_cell_angle_gamma 90.00
loop_
_atom_site_label
_atom_site_fract_x
_atom_site_fract_y
_atom_site_fract_z
Pu1 0.0000 0.0000 0.0000
Hg1 0.0000 0.0000 0.5000
Ru1 0.2500 0.2500 0.7500
Rh1 0.2500 0.2500 0.2500

---

# Ba5TlIr (PBE, optimized geometry)
# - energy of formation (eV per atom) = -0.18
# - E (Ha/atom) = -0.11600
# - total moment (μB/f.u.) = 0.0
# - calculated volume (Å³ per cell) = 1384
data_Ba5TlIr
_chemical_formula_sum 'Ba20 Tl4 Ir4'
_symmetry_space_group_name_H-M 'C 1 2/c 1'
_symmetry_Int_Tables_number 15
_symmetry_space_group_name_Hall '-C 2yc'
_cell_length_a 9.7643
_cell_length_b 13.2867
_cell_length_c 11.0820
_cell_angle_alpha 90.00
_cell_angle_beta 105.75
_cell_angle_gamma 90.00
loop_
_atom_site_label
_atom_site_fract_x
_atom_site_fract_y
_atom_site_fract_z
Ba1 0.0000 0.1020 0.2500
Ba2 0.1303 0.1936 0.6213
Ba3 0.1901 0.4294 0.9720
Tl1 0.0000 0.3792 0.2500
Ir1 0.0000 0.0000 0.0000

---

# K2BF5 (PBE, optimized geometry)
# - offset from the most stable computed form (meV/atom) = 227
# - E_form (uncorrected) (eV/atom) = -2.700
# - E (Ha/atom) = -0.18296
# - total moment (μB/f.u.) = 0.0
# - calculated volume (Å³ per cell) = 253
data_K2BF5
_chemical_formula_sum 'K4 B2 F10'
_symmetry_space_group_name_H-M 'I 4 m m'
_symmetry_Int_Tables_number 107
_symmetry_space_group_name_Hall 'I 4 -2'
_cell_length_a 5.8478
_cell_length_b 5.8478
_cell_length_c 7.3912
_cell_angle_alpha 90.00
_cell_angle_beta 90.00
_cell_angle_gamma 90.00
loop_
_atom_site_label
_atom_site_fract_x
_atom_site_fract_y
_atom_site_fract_z
K1 0.0000 0.5000 0.0000
B1 0.0000 0.0000 0.2125
F1 0.0000 0.0000 0.0199
F2 0.1883 0.1883 0.2622

---

# LiCaHoCu (PBE, optimized geometry)
# - energy of formation (eV per atom) = 0.01
# - E (Ha/atom) = -0.11520
# - total moment (μB/f.u.) = 0.0
# - calculated volume (Å³ per cell) = 371
data_LiCaHoCu
_chemical_formula_sum 'Li4 Ca4 Ho4 Cu4'
_symmetry_space_group_name_H-M 'F -4 3 m'
_symmetry_Int_Tables_number 216
_symmetry_space_group_name_Hall 'F -4 2 3'
_cell_length_a 7.1831
_cell_length_b 7.1831
_cell_length_c 7.1831
_cell_angle_alpha 90.00
_cell_angle_beta 90.00
_cell_angle_gamma 90.00
loop_
_atom_site_label
_atom_site_fract_x
_atom_site_fract_y
_atom_site_fract_z
Li1 0.0000 0.0000 0.0000
Ca1 0.2500 0.2500 0.2500
Ho1 0.2500 0.2500 0.7500
Cu1 0.0000 0.0000 0.5000

---

# CsPrTlO3 (PBE, optimized geometry)
# - E_form (uncorrected) (eV/atom) = -1.831
# - E (Ha/atom) = -0.20741
# - total moment (μB/f.u.) = 0.0
# - calculated volume (Å³ per cell) = 293
data_CsPrTlO3
_chemical_formula_sum 'Cs2 Pr2 Tl2 O6'
_symmetry_space_group_name_H-M 'P 1 21/m 1'
_symmetry_Int_Tables_number 11
_symmetry_space_group_name_Hall '-P 2yb'
_cell_length_a 7.4629
_cell_length_b 3.6883
_cell_length_c 11.2083
_cell_angle_alpha 90.00
_cell_angle_beta 108.16
_cell_angle_gamma 90.00
loop_
_atom_site_label
_atom_site_fract_x
_atom_site_fract_y
_atom_site_fract_z
Cs1 0.2485 0.2500 0.2500
Pr1 0.3342 0.7500 0.8734
Tl1 0.1477 0.2500 0.5988
O1 0.1115 0.2500 0.7931
O2 0.3317 0.7500 0.6444
O3 0.4449 0.7500 0.0927

---

# Er2GeSe (PBE, optimized geometry)
# - offset from the most stable computed form (meV/atom) = 112
# - E_form (uncorrected) (eV/atom) = -1.251
# - E (Ha/atom) = -0.20425
# - total moment (μB/f.u.) = 0.0
# - calculated volume (Å³ per cell) = 299
data_Er2GeSe
_chemical_formula_sum 'Er6 Ge3 Se3'
_symmetry_space_group_name_H-M 'R 3 m'
_symmetry_Int_Tables_number 160
_symmetry_space_group_name_Hall 'R 3 -2"'
_cell_length_a 4.0516
_cell_length_b 4.0516
_cell_length_c 21.0582
_cell_angle_alpha 90.00
_cell_angle_beta 90.00
_cell_angle_gamma 120.00
loop_
_atom_site_label
_atom_site_fract_x
_atom_site_fract_y
_atom_site_fract_z
Er1 0.0000 0.0000 0.0000
Er2 0.0000 0.0000 0.1812
Ge1 0.0000 0.0000 0.5914
Se1 0.0000 0.0000 0.4216

---

# LaTeRu2 (PBE, optimized geometry)
# - offset from the most stable computed form (meV/atom) = 430
# - E_form (uncorrected) (eV/atom) = 0.101
# - E (Ha/atom) = -0.24085
# - total moment (μB/f.u.) = 0.0
# - calculated volume (Å³ per cell) = 81
data_LaTeRu2
_chemical_formula_sum 'La1 Te1 Ru2'
_symmetry_space_group_name_H-M 'P 4/m m m'
_symmetry_Int_Tables_number 123
_symmetry_space_group_name_Hall '-P 4 2'
_cell_length_a 3.4897
_cell_length_b 3.4897
_cell_length_c 6.6650
_cell_angle_alpha 90.00
_cell_angle_beta 90.00
_cell_angle_gamma 90.00
loop_
_atom_site_label
_atom_site_fract_x
_atom_site_fract_y
_atom_site_fract_z
La1 0.0000 0.0000 0.0000
Te1 0.0000 0.0000 0.5000
Ru1 0.5000 0.5000 0.2780

---

# GeRhO2 (PBE, optimized geometry)
# - E_form (uncorrected) (eV/atom) = -0.610
# - E (Ha/atom) = -0.22347
# - total moment (μB/f.u.) = 0.0
# - calculated volume (Å³ per cell) = 154
data_GeRhO2
_chemical_formula_sum 'Ge3 Rh3 O6'
_symmetry_space_group_name_H-M 'R -3 m'
_symmetry_Int_Tables_number 166
_symmetry_space_group_name_Hall '-R 3 2"'
_cell_length_a 3.0694
_cell_length_b 3.0694
_cell_length_c 18.9091
_cell_angle_alpha 90.00
_cell_angle_beta 90.00
_cell_angle_gamma 120.00
loop_
_atom_site_label
_atom_site_fract_x
_atom_site_fract_y
_atom_site_fract_z
Ge1 0.0000 0.0000 0.0000
Rh1 0.0000 0.0000 0.5000
O1 0.0000 0.0000 0.1118